NpInIrPd after structural relaxation, computed with PBE.

abc: 6.7618 6.7618 6.7618
angles: 90.00 90.00 90.00
Space group F-43m (No. 216)
Unique sites:
Np  0.0000  0.0000  0.0000 x4
In  0.0000  0.0000  0.5000 x4
Ir  0.2500  0.2500  0.2500 x4
Pd  0.2500  0.2500  0.7500 x4

Computed properties:
* ΔH_f (0 K): -275 meV/atom
* DOS at the Fermi energy: 31.168 states/eV per cell
* E_tot: -30.8 eV/f.u.